Entry from Alexandria: K2YMoO6 after structural relaxation (GGA+U).

a = 5.961 Å, b = 5.961 Å, c = 5.961 Å
α = 60.00°, β = 60.00°, γ = 60.00°
Fractional positions:
K 0.250 0.250 0.250
K 0.750 0.750 0.750
Y 0.000 0.000 0.000
Mo 0.500 0.500 0.500
O 0.269 0.269 0.731
O 0.269 0.731 0.269
O 0.269 0.731 0.731
O 0.731 0.269 0.269
O 0.731 0.269 0.731
O 0.731 0.731 0.269

Computed properties:
Uncorrected energy ... -66.19 eV for the cell shown
Total moment ... 1.04 μB per formula unit